The following is a PBE calculation of an optimized crystal structure of Al2TePb, from Alexandria via LeMat-Bulk.

```
Al2TePb
1.0
6.3517 0.0000 0.0000
0.0000 6.3517 0.0000
3.1758 3.1758 6.3824
Pb Al Te
2 4 2
Direct
0.7500 0.2500 0.5000 Pb
0.0000 0.0000 0.0000 Pb
0.1157 0.6250 0.2500 Al
0.6343 0.1250 0.2500 Al
0.3750 0.3657 0.7500 Al
0.8750 0.8843 0.7500 Al
0.5000 0.5000 0.0000 Te
0.2500 0.7500 0.5000 Te
```

Calculated values
The calculation puts the density at 5.0 Mg/m³. For the density of states at the Fermi level, the calculation gives 0.019 states/eV/f.u. As for the symmetry: I-42d (122). The value obtained for the formation energy without anion corrections is 26 meV/atom. For the final energy, the calculation gives -14.2 eV per formula unit.